The following is a PBE calculation of a relaxed structure of BaZr2Os, from Alexandria via LeMat-Bulk.

POSCAR file:
```
BaZr2Os
1.0
3.4267 0.0106 0.0000
-0.0108 3.4267 0.0000
0.0000 0.0000 8.8224
Os Zr Ba
1 2 1
Direct
0.5000 0.5000 0.8153
0.5000 0.5000 0.1783
0.0000 0.0000 0.9611
0.0000 0.0000 0.5454
```

Summary:
* DOS at the Fermi energy: 4.638 states/eV per cell
* ΔE to the lowest computed polymorph: 0.148 eV per atom
* calculated density: 8.175 g cm⁻³
* total DFT energy (no corrections): -29.25 eV/f.u.